[1]
Material: ZrTiGa4
Method: DFT, PBE-GGA
State: relaxed

Computed properties:
Electronic total energy, eV per cell: -123.0
Size of the total moment, μB/f.u.: 0.00
Crystal system: cubic
Formation energy, eV per atom: -0.365

Lattice parameters (Å, degrees): 7.3588 7.3588 7.3588 90.00 90.00 90.00
Space group F-43m (No. 216)
Inequivalent atoms, fractional coordinates:
Zr  0.0000  0.0000  0.0000 [4 per cell]
Ti  0.2500  0.2500  0.7500 [4 per cell]
Ga  0.1248  0.1248  0.3752 [16 per cell]

***

[2]
Material: CaTi2PbO6
Method: DFT, PBE-GGA
State: relaxed

Computed properties:
Electronic total energy, eV per cell: -312.5
Uncorrected formation energy, eV per formula unit: -26.9
Size of the total moment, μB/f.u.: 0.00
Crystal system: monoclinic

Lattice parameters (Å, degrees): 11.3808 10.1596 6.2564 90.00 110.54 90.00
Space group C2/c (No. 15)
Inequivalent atoms, fractional coordinates:
Ca  0.0000  0.2081  0.2500 [4 per cell]
Ti  0.2067  0.0902  0.7113 [8 per cell]
Pb  0.0000  0.3937  0.7500 [4 per cell]
O  0.1091  0.2328  0.6423 [8 per cell]
O  0.1311  0.3636  0.1686 [8 per cell]
O  0.1613  0.0205  0.4130 [8 per cell]

***

[3]
Material: InAg3Au3
Method: DFT, PBE-GGA
State: relaxed

Computed properties:
Electronic total energy, eV per cell: -43.0
Size of the total moment, μB/f.u.: 0.00
Crystal system: hexagonal
Formation energy, eV per atom: -0.057

Lattice parameters (Å, degrees): 7.8146 7.8146 4.8914 90.00 90.00 120.00
Space group P6_3/m (No. 176)
Inequivalent atoms, fractional coordinates:
In  0.3333  0.6667  0.2500 [2 per cell]
Ag  0.0977  0.4740  0.7500 [6 per cell]
Au  0.0508  0.2406  0.2500 [6 per cell]